A plane-wave DFT calculation with GGA-PBE was carried out for a geometry-optimized CsNiRh3 structure.

a b c (Å): 4.9102 4.9102 4.9102
angles (deg): 90.00 90.00 90.00
With the nearest neighbours (Å) after each atom.
Fractional coordinates of all 5 atoms:
Cs1 0.0000 0.0000 0.0000  6 Rh 2.46
Rh1 0.5000 0.0000 0.0000  2 Cs 2.46
Rh2 0.0000 0.5000 0.0000  2 Cs 2.46
Rh3 0.0000 0.0000 0.5000  2 Cs 2.46
Ni1 0.5000 0.5000 0.5000  12 Rh 3.47

Total moment ... 1.8 Bohr magnetons per cell
Calculated volume ... 23.7 Å³ per atom
E above lowest polymorph ... 1.335 eV per atom
Formation energy ... 2.42 eV per atom



A plane-wave DFT calculation with GGA-PBE was carried out for a geometry-optimized CsNiRh3 structure.

a b c (Å): 4.7353 4.7353 4.7353
angles (deg): 90.00 90.00 90.00
With the nearest neighbours (Å) after each atom.
Fractional coordinates of all 5 atoms:
Ni1 0.0000 0.0000 0.0000  6 Rh 2.37
Cs1 0.5000 0.5000 0.5000  12 Rh 3.35
Rh1 0.0000 0.5000 0.0000  2 Ni 2.37
Rh2 0.5000 0.0000 0.0000  2 Ni 2.37
Rh3 0.0000 0.0000 0.5000  2 Ni 2.37

Total moment ... 3.7 Bohr magnetons per cell
Calculated volume ... 21.2 Å³ per atom
E above lowest polymorph ... 0.000 eV per atom
Formation energy ... 1.08 eV per atom



A plane-wave DFT calculation with GGA-PBE was carried out for a geometry-optimized CsNi3Rh structure.

a b c (Å): 4.6543 4.6543 4.6543
angles (deg): 90.00 90.00 90.00
With the nearest neighbours (Å) after each atom.
Fractional coordinates of all 5 atoms:
Cs1 0.0000 0.0000 0.0000  6 Ni 2.33
Ni1 0.5000 0.0000 0.0000  2 Cs 2.33
Ni2 0.0000 0.5000 0.0000  2 Cs 2.33
Ni3 0.0000 0.0000 0.5000  2 Cs 2.33
Rh1 0.5000 0.5000 0.5000  12 Ni 3.29

Total moment ... 0.5 Bohr magnetons per cell
Calculated volume ... 20.2 Å³ per atom
Formation energy ... 2.30 eV per atom



A plane-wave DFT calculation with GGA-PBE was carried out for a geometry-optimized CsNi2RuRh structure.

a b c (Å): 4.8340 4.7181 4.8340
angles (deg): 90.00 90.00 90.00
With the nearest neighbours (Å) after each atom.
Fractional coordinates of all 5 atoms:
Ni1 0.5000 0.0000 0.0000  2 Rh 2.42
Ni2 0.0000 0.0000 0.5000  2 Rh 2.42
Rh1 0.0000 0.0000 0.0000  2 Ru 2.36, 4 Ni 2.42
Cs1 0.5000 0.5000 0.5000  8 Ni 3.38, 4 Ru 3.42
Ru1 0.0000 0.5000 0.0000  2 Rh 2.36

Total moment ... 2.5 Bohr magnetons per cell
Calculated volume ... 22.1 Å³ per atom
Formation energy ... 1.23 eV per atom